# 1
Pr8Nd2Ho3, optimized geometry, DFT PBE; Fermi-level density of states = 20.6 states/eV per cell; V = 35.23 Å³ per atom; excess energy over the best structure of this formula in the dataset = 0 meV/atom; magnetization = 0.00 Bohr magnetons per cell
1.0
6.134 0.745 0.442
-0.832 10.331 -5.858
2.371 -1.843 8.511
Pr Nd Ho
8 2 3
Cartesian
5.132 5.434 2.535 Pr
6.294 3.326 4.972 Pr
6.030 1.585 1.938 Pr
2.106 9.196 -2.499 Pr
5.567 0.037 5.594 Pr
1.378 5.907 -1.877 Pr
1.642 7.648 1.157 Pr
2.541 3.799 0.560 Pr
3.297 2.314 3.613 Nd
4.376 6.919 -0.518 Nd
-0.221 2.739 -1.553 Ho
-0.612 7.592 -4.305 Ho
3.067 0.372 0.221 Ho

# 2
Pr3Nd3Ho8, optimized geometry, DFT PBE; Fermi-level density of states = 22.1 states/eV per cell; V = 33.64 Å³ per atom; excess energy over the best structure of this formula in the dataset = 4 meV/atom; magnetization = 0.00 Bohr magnetons per cell
1.0
5.706 0.000 0.000
2.853 8.918 -2.853
2.853 -0.318 9.358
Ho Pr Nd
8 3 3
Cartesian
2.853 1.976 3.461 Ho
5.706 4.941 -0.486 Ho
5.706 7.723 1.618 Ho
8.559 4.732 5.545 Ho
5.706 0.877 4.887 Ho
2.853 3.868 0.959 Ho
8.559 6.624 3.043 Ho
5.706 3.659 6.991 Ho
5.706 4.300 3.252 Pr
5.706 6.926 5.238 Pr
5.706 1.674 1.266 Pr
2.853 0.000 0.000 Nd
2.853 1.425 7.053 Nd
2.853 7.175 -0.549 Nd